(1)
Entry from Alexandria via LeMat-Bulk: crystalline TaIrPt2 at its relaxed geometry (PBE).

Cell: 3.4358 3.4358 5.4770 Å, 90.00 90.00 90.00°
Last column: nearest neighbours and their distance in Å.
Atoms (fractional coordinates):
Ir (0.5000, 0.5000, 0.7500)  2 Ta 2.74, 8 Pt 2.79
Pt (0.0000, 0.0000, 0.9991)  2 Pt 2.73-2.75, 4 Ir 2.79, 4 Ta 2.79
Pt (0.0000, 0.0000, 0.5009)  2 Pt 2.73-2.75, 4 Ir 2.79, 4 Ta 2.79
Ta (0.5000, 0.5000, 0.2500)  2 Ir 2.74, 8 Pt 2.79

Values from the calculation:
DOS at the Fermi energy   4.815 states/eV/cell
Energy above the lowest structure with this stoichiometry   308.5 meV per atom
Energy of formation   -0.324 eV per atom
Theoretical density   19.605 Mg/m³

---

(2)
Entry from Alexandria via LeMat-Bulk: crystalline La2NdDy at its relaxed geometry (PBE).

Cell: 3.6907 3.6907 12.0810 Å, 81.21 81.21 60.00°
Last column: nearest neighbours and their distance in Å.
Atoms (fractional coordinates):
La (0.7485, 0.7485, 0.7545)  3 Dy 3.61, 6 La 3.69, 3 Nd 3.70
La (0.2515, 0.2515, 0.2455)  3 Dy 3.61, 6 La 3.69, 3 Nd 3.70
Nd (0.5000, 0.5000, 0.5000)  6 Nd 3.69, 6 La 3.70
Dy (0.0000, 0.0000, 0.0000)  6 La 3.61, 6 Dy 3.69

Values from the calculation:
DOS at the Fermi energy   5.553 states/eV/cell
Energy above the lowest structure with this stoichiometry   0.0 meV per atom
Energy of formation   0.012 eV per atom
Theoretical density   6.919 Mg/m³

---

(3)
Entry from Alexandria via LeMat-Bulk: crystalline Pm3PuN4 at its relaxed geometry (PBE).

Cell: 3.5792 6.1765 6.1765 Å, 109.31 90.00 90.00°
Last column: nearest neighbours and their distance in Å.
Atoms (fractional coordinates):
Pm (0.0000, 0.0000, 0.5000)  6 N 2.52-2.53
Pm (0.5000, 0.5000, 0.5000)  6 N 2.61
Pm (0.0000, 0.5000, 0.0000)  6 N 2.52-2.53
Pu (0.5000, 0.0000, 0.0000)  6 N 2.43-2.45
N (0.0000, 0.2346, 0.2346)  2 Pu 2.45, 4 Pm 2.52-2.61
N (0.5000, 0.7590, 0.2410)  1 Pu 2.43, 5 Pm 2.53-2.61
N (0.0000, 0.7654, 0.7654)  2 Pu 2.45, 4 Pm 2.52-2.61
N (0.5000, 0.2410, 0.7590)  1 Pu 2.43, 5 Pm 2.53-2.61

Values from the calculation:
DOS at the Fermi energy   7.664 states/eV/cell
Energy above the lowest structure with this stoichiometry   10.8 meV per atom
Formation energy from raw total energies   -11.10 eV/f.u.
Theoretical density   9.472 Mg/m³

---

(4)
Entry from Alexandria via LeMat-Bulk: crystalline In2GaPbI4 at its relaxed geometry (PBE).

Cell: 4.3870 7.7801 9.4961 Å, 105.15 90.00 90.00°
Last column: nearest neighbours and their distance in Å.
Atoms (fractional coordinates):
In (0.5000, 0.0000, 0.5000)  6 I 3.53-3.58
In (0.0000, 0.5000, 0.5000)  6 I 3.55-3.56
Ga (0.0000, 0.0000, 0.0000)  6 I 3.32-3.34
Pb (0.5000, 0.5000, 0.0000)  6 I 3.30-3.35
I (0.5000, 0.2460, 0.2296)  1 Pb 3.30, 2 Ga 3.32, 3 In 3.56-3.58
I (0.5000, 0.7540, 0.7704)  1 Pb 3.30, 2 Ga 3.32, 3 In 3.56-3.58
I (0.0000, 0.2539, 0.7659)  1 Ga 3.34, 2 Pb 3.35, 3 In 3.53-3.55
I (0.0000, 0.7461, 0.2341)  1 Ga 3.34, 2 Pb 3.35, 3 In 3.53-3.55

Values from the calculation:
DOS at the Fermi energy   2.752 states/eV/cell
Formation energy from raw total energies   -2.54 eV/f.u.
Theoretical density   5.383 Mg/m³

---

(5)
Entry from Alexandria via LeMat-Bulk: crystalline Ni3BiIr at its relaxed geometry (PBE).

Cell: 4.5834 4.5834 4.5834 Å, 90.00 90.00 90.00°
Last column: nearest neighbours and their distance in Å.
Atoms (fractional coordinates):
Ni (0.0000, 0.5000, 0.0000)  2 Ir 2.29
Ni (0.0000, 0.0000, 0.5000)  2 Ir 2.29
Ni (0.5000, 0.0000, 0.0000)  2 Ir 2.29
Ir (0.0000, 0.0000, 0.0000)  6 Ni 2.29
Bi (0.5000, 0.5000, 0.5000)  12 Ni 3.24

Values from the calculation:
DOS at the Fermi energy   6.425 states/eV/cell
Energy above the lowest structure with this stoichiometry   0.0 meV per atom
Energy of formation   0.906 eV per atom
Theoretical density   9.956 Mg/m³

---

(6)
Entry from Alexandria via LeMat-Bulk: crystalline Ba2MgCd4Hg3 at its relaxed geometry (PBE).

Cell: 4.7001 4.7001 13.2398 Å, 90.00 90.00 90.00°
Last column: nearest neighbours and their distance in Å.
Atoms (fractional coordinates):
Ba (0.5000, 0.0000, 0.2464)  4 Hg 3.61, 8 Cd 3.66-4.02
Ba (0.0000, 0.5000, 0.7536)  4 Hg 3.61, 8 Cd 3.66-4.02
Mg (0.5000, 0.5000, 0.5000)  4 Cd 2.97, 4 Hg 3.32
Cd (0.5000, 0.5000, 0.0000)  4 Hg 3.00, 4 Cd 3.32
Cd (0.0000, 0.0000, 0.0000)  4 Hg 3.00, 4 Cd 3.32
Cd (0.5000, 0.0000, 0.6373)  3 Hg 2.94-2.97, 2 Mg 2.97
Cd (0.0000, 0.5000, 0.3627)  3 Hg 2.94-2.97, 2 Mg 2.97
Hg (0.0000, 0.0000, 0.5000)  4 Cd 2.97, 4 Mg 3.32
Hg (0.5000, 0.0000, 0.8595)  5 Cd 2.94-3.00
Hg (0.0000, 0.5000, 0.1405)  5 Cd 2.94-3.00

Values from the calculation:
DOS at the Fermi energy   5.140 states/eV/cell
Energy of formation   -0.314 eV per atom
Theoretical density   7.667 Mg/m³